1.
TaSb2TeAs: single point on PBEsol structure, SCAN.

## Properties
- D(E_F): 5.45 states/eV/f.u.
- Crystal system: tetragonal
- Energy relative to the elements, uncorrected: 1331 meV per atom

abc: 5.1628 5.1628 5.1001
angles: 90.00 90.00 90.00
With the nearest neighbours (Å) after each atom.
Fractional positions:
1 Ta 0.0000 0.0000 0.0000  8 Sb 3.63, 4 Te 3.65
2 Sb 0.0000 0.5000 0.5000  2 As 2.58
3 Sb 0.5000 0.0000 0.5000  2 As 2.58
4 Te 0.5000 0.5000 0.0000  2 As 2.55
5 As 0.5000 0.5000 0.5000  2 Te 2.55, 4 Sb 2.58

***

2.
Sc2MoPt: single point on PBEsol structure, SCAN.

## Properties
- D(E_F): 4.65 states/eV/f.u.
- Energy of formation from the pure elements: -0.187 eV per atom
- Crystal system: trigonal

abc: 9.0755 9.0755 9.0755
angles: 19.15 19.15 19.15
With the nearest neighbours (Å) after each atom.
Fractional positions:
1 Sc 0.2484 0.2484 0.2484  3 Pt 2.80, 3 Mo 2.86, 6 Sc 3.02
2 Sc 0.7516 0.7516 0.7516  3 Pt 2.80, 3 Mo 2.86, 6 Sc 3.02
3 Mo 0.0000 0.0000 0.0000  6 Sc 2.86, 6 Mo 3.02
4 Pt 0.5000 0.5000 0.5000  6 Sc 2.80, 6 Pt 3.02

***

3.
Nb3Fe20B6: single point on PBEsol structure, SCAN.

## Properties
- D(E_F): 16.41 states/eV/f.u.
- Energy of formation from the pure elements: -0.225 eV per atom
- Crystal system: cubic

abc: 7.4492 7.4492 7.4492
angles: 60.00 60.00 60.00
With the nearest neighbours (Å) after each atom.
Fractional positions:
1 Nb 0.0000 0.0000 0.0000  12 Fe 2.58, 6 B 2.85
2 Nb 0.2500 0.2500 0.2500  4 Fe 2.46
3 Nb 0.7500 0.7500 0.7500  4 Fe 2.46
4 Fe 0.0000 0.0000 0.3465  2 B 2.09, 1 Fe 2.29
5 Fe 0.0000 0.0000 0.6535  2 B 2.09, 1 Fe 2.29
6 Fe 0.0000 0.3465 0.0000  2 B 2.09, 1 Fe 2.29
7 Fe 0.0000 0.3465 0.6535  2 B 2.09, 1 Fe 2.29
8 Fe 0.0000 0.6535 0.0000  2 B 2.09, 1 Fe 2.29
9 Fe 0.0000 0.6535 0.3465  2 B 2.09, 1 Fe 2.29
10 Fe 0.1540 0.6153 0.6153  3 B 2.10
11 Fe 0.3465 0.0000 0.0000  2 B 2.09, 1 Fe 2.29
12 Fe 0.3465 0.0000 0.6535  2 B 2.09, 1 Fe 2.29
13 Fe 0.3465 0.6535 0.0000  2 B 2.09, 1 Fe 2.29
14 Fe 0.3847 0.3847 0.3847  3 B 2.10
15 Fe 0.3847 0.3847 0.8460  3 B 2.10
16 Fe 0.3847 0.8460 0.3847  3 B 2.10
17 Fe 0.6153 0.1540 0.6153  3 B 2.10
18 Fe 0.6153 0.6153 0.1540  3 B 2.10
19 Fe 0.6153 0.6153 0.6153  3 B 2.10
20 Fe 0.6535 0.0000 0.0000  2 B 2.09, 1 Fe 2.29
21 Fe 0.6535 0.0000 0.3465  2 B 2.09, 1 Fe 2.29
22 Fe 0.6535 0.3465 0.0000  2 B 2.09, 1 Fe 2.29
23 Fe 0.8460 0.3847 0.3847  3 B 2.10
24 B 0.2701 0.2701 0.7299  8 Fe 2.09-2.10
25 B 0.2701 0.7299 0.2701  8 Fe 2.09-2.10
26 B 0.2701 0.7299 0.7299  8 Fe 2.09-2.10
27 B 0.7299 0.2701 0.2701  8 Fe 2.09-2.10
28 B 0.7299 0.2701 0.7299  8 Fe 2.09-2.10
29 B 0.7299 0.7299 0.2701  8 Fe 2.09-2.10

***

4.
TlSeCl2: single point on PBEsol structure, SCAN.

## Properties
- D(E_F): 0.57 states/eV/f.u.
- Crystal system: orthorhombic
- Energy relative to the elements, uncorrected: -168 meV per atom
- E above lowest polymorph: 0.521 eV per formula unit

abc: 4.0503 4.0503 7.1155
angles: 90.00 90.00 115.44
With the nearest neighbours (Å) after each atom.
Fractional positions:
1 Tl 0.0000 0.0000 0.0000  4 Cl 2.96
2 Se 0.0000 0.0000 0.5000  4 Cl 2.65
3 Cl 0.5000 0.5000 0.2850  2 Se 2.65, 2 Tl 2.96
4 Cl 0.5000 0.5000 0.7150  2 Se 2.65, 2 Tl 2.96

***

5.
KAl2Se: single point on PBEsol structure, SCAN.

## Properties
- D(E_F): 1.08 states/eV/f.u.
- Crystal system: monoclinic
- Energy relative to the elements, uncorrected: 44 meV per atom

abc: 6.4486 6.4486 3.0375
angles: 103.63 103.63 124.14
With the nearest neighbours (Å) after each atom.
Fractional positions:
1 K 0.0000 0.0000 0.0000  4 Se 3.02, 2 K 3.04, 4 Al 3.22
2 Al 0.0000 0.5000 0.0000  6 Al 3.02-3.04, 2 Se 3.22, 2 K 3.22
3 Al 0.5000 0.0000 0.0000  6 Al 3.02-3.04, 2 Se 3.22, 2 K 3.22
4 Se 0.5000 0.5000 0.0000  4 K 3.02, 2 Se 3.04, 4 Al 3.22

***

6.
ZrAg2Sb: single point on PBEsol structure, SCAN.

## Properties
- D(E_F): 1.50 states/eV/f.u.
- Crystal system: tetragonal
- Energy relative to the elements, uncorrected: -259 meV per atom

abc: 4.1110 4.1110 4.5639
angles: 90.00 90.00 90.00
With the nearest neighbours (Å) after each atom.
Fractional positions:
1 Zr 0.0000 0.0000 0.0000  4 Sb 2.91, 8 Ag 3.07
2 Ag 0.0000 0.5000 0.5000  4 Ag 2.91, 4 Zr 3.07, 4 Sb 3.07
3 Ag 0.5000 0.0000 0.5000  4 Ag 2.91, 4 Zr 3.07, 4 Sb 3.07
4 Sb 0.5000 0.5000 0.0000  4 Zr 2.91, 8 Ag 3.07